VASP calculation (GGA+U) on MgTlV2O6 after structural relaxation.

The space group is C2/c, No. 15. Its total energy is -134.889 eV for the cell shown.

Cell and atoms, written as POSCAR:
```
MgTlV2O6
1.0
5.5293 -5.8577 0.0000
5.5293 5.8577 0.0000
-2.2607 0.0000 5.6572
Mg Tl V O
2 2 4 12
direct
0.2474 0.7526 0.7500
0.7526 0.2474 0.2500
0.3617 0.6383 0.2500
0.6383 0.3617 0.7500
0.1266 0.2975 0.6717
0.2975 0.1266 0.1717
0.7025 0.8734 0.8283
0.8734 0.7025 0.3283
0.0977 0.7416 0.4370
0.2006 0.2112 0.9249
0.2084 0.5152 0.7747
0.2112 0.2006 0.4249
0.2584 0.9023 0.0630
0.4848 0.7916 0.7253
0.5152 0.2084 0.2747
0.7416 0.0977 0.9370
0.7888 0.7994 0.5751
0.7916 0.4848 0.2253
0.7994 0.7888 0.0751
0.9023 0.2584 0.5630
```